# 1
Compound: PmH8Pt2Rh3
Source: Alexandria via LeMat-Bulk
Functional: PBE
Structure: relaxed

abc: 5.7003 5.7003 14.0316
angles: 90.00 90.00 120.00
Space group R3m (No. 160, hexagonal axes)
Inequivalent atoms, fractional coordinates:
Pm (0.0000, 0.0000, 0.0000) [3 per cell]
H (0.0000, 0.0000, 0.3861) [3 per cell]
H (0.0000, 0.0000, 0.8425) [3 per cell]
H (0.0397, 0.5199, 0.8419) [9 per cell]
H (0.0949, 0.5474, 0.3870) [9 per cell]
Pt (0.0000, 0.0000, 0.2549) [3 per cell]
Pt (0.0000, 0.0000, 0.6208) [3 per cell]
Rh (0.0042, 0.5021, 0.1274) [9 per cell]

Results
The total magnetic moment is 0.00 μB per formula unit. The total DFT energy (no corrections) comes out at -4.90 eV/atom.

# 2
Compound: Pm2H6RuPt
Source: Alexandria via LeMat-Bulk
Functional: PBE
Structure: relaxed

abc: 5.2915 5.3129 7.5239
angles: 90.00 90.00 90.00
Space group Immm (No. 71)
Inequivalent atoms, fractional coordinates:
Pm (0.0000, 0.0000, 0.2502) [4 per cell]
H (0.0000, 0.5000, 0.2374) [4 per cell]
H (0.2390, 0.2622, 0.0000) [8 per cell]
Ru (0.0000, 0.5000, 0.0000) [2 per cell]
Pt (0.0000, 0.5000, 0.5000) [2 per cell]

Results
The total magnetic moment is 0.00 μB per formula unit. The total DFT energy (no corrections) comes out at -5.00 eV/atom.